(1)
Here is crystalline ScHg2Br at its relaxed geometry from the Alexandria database. Energies are from PBE.

Cell and atoms, written as POSCAR:
```
ScHg2Br
1.0
0.0000 3.7227 3.7227
3.7227 0.0000 3.7227
3.7227 3.7227 0.0000
Hg Sc Br
2 1 1
Cartesian
5.5840 5.5840 5.5840
1.8613 1.8613 1.8613
0.0000 0.0000 0.0000
3.7227 3.7227 3.7227
```

- DOS at the Fermi energy (states/eV per atom) = 1.049
- electronic total energy (eV per atom) = -2.15
- total magnetization (μB per atom) = 0.234
- E above lowest polymorph (eV per atom) = 0.5260
- raw formation energy (eV per atom) = 0.00



(2)
Here is crystalline LaMn2Ni at its relaxed geometry from the Alexandria database. Energies are from PBE.

Cell and atoms, written as POSCAR:
```
LaMn2Ni
1.0
4.7058 -0.2773 -0.1986
0.3166 4.7033 0.1986
-2.1787 -2.5903 3.2870
Ni Mn La
1 2 1
Cartesian
2.7132 2.3911 0.0000
4.8320 4.2582 0.0000
2.5036 -0.3410 1.5442
0.3284 2.1665 1.7428
```

- formation energy (meV per atom) = 245
- DOS at the Fermi energy (states/eV per atom) = 0.753
- electronic total energy (eV per atom) = -7.02
- total magnetization (μB per atom) = 0.179



(3)
Here is crystalline BaTl3Ga at its relaxed geometry from the Alexandria database. Energies are from PBE.

Cell and atoms, written as POSCAR:
```
BaTl3Ga
1.0
-3.6668 1.7171 2.7782
-7.0167 -3.3069 -7.2173
-0.7542 -10.8091 5.6855
Tl Ga Ba
12 4 4
Cartesian
-9.7145 -8.2526 -1.2118
-4.2731 -7.7724 5.6734
-5.0034 -2.5279 -2.8717
-3.7288 -1.4057 2.4568
-7.7091 -8.3871 1.5182
-4.1456 -8.5512 1.9834
-7.2921 -3.8477 -0.7371
-1.7232 -4.1463 2.4582
-6.4343 -9.8709 4.1180
-7.1646 -4.6265 -4.4270
-3.7286 -4.0117 -0.2719
-7.7089 -10.9931 -1.2104
-9.2591 -5.4893 -2.3187
-5.8451 -10.8297 1.1486
-2.1786 -6.9096 3.5650
-5.5926 -1.5692 0.0978
-2.2913 -0.2910 -0.6746
-9.1464 -12.1078 1.9210
-5.2709 -5.1994 2.7661
-6.1668 -7.1995 -1.5197
```

- formation energy (meV per atom) = -220
- DOS at the Fermi energy (states/eV per atom) = 0.571
- electronic total energy (eV per atom) = -2.63
- total magnetization (μB per atom) = 0.000
- E above lowest polymorph (eV per atom) = 0.0000